The following is a PBE calculation of a relaxed structure of NaCoCuP, from Alexandria via LeMat-Bulk.

```
data_NaCoCuP
_chemical_formula_sum 'Na2 Co2 Cu2 P2'
_cell_length_a 3.578
_cell_length_b 3.578
_cell_length_c 10.659
_cell_angle_alpha 90.00
_cell_angle_beta 90.00
_cell_angle_gamma 90.00
_symmetry_space_group_name_H-M 'P 4/n m m'
_symmetry_Int_Tables_number 129
loop_
_symmetry_equiv_pos_as_xyz
'x,y,z'
'-x,-y,-z'
'-y+1/2,x,z'
'y+1/2,-x,-z'
'-x+1/2,-y+1/2,z'
'x+1/2,y+1/2,-z'
'y,-x+1/2,z'
'-y,x+1/2,-z'
'x+1/2,-y,-z'
'-x+1/2,y,z'
'-y,-x,-z'
'y,x,z'
'-x,y+1/2,-z'
'x,-y+1/2,z'
'y+1/2,x+1/2,-z'
'-y+1/2,-x+1/2,z'
loop_
_atom_site_label
_atom_site_fract_x
_atom_site_fract_y
_atom_site_fract_z
Na1 0.250 0.250 0.233
Co1 0.250 0.750 0.500
Cu1 0.250 0.750 0.000
P1 0.250 0.250 0.619
```

Values from the calculation:
**Fermi-level density of states**: 2.4 states/eV/cell
**ΔE_f**: -0.23 eV/atom